An optimized crystal structure of SrNi. Source: the Alexandria database, functional GGA-PBE.

Cell lengths 4.1133, 4.1133, 23.5706 Å; angles 90.00, 90.00, 120.00 degrees
Space group R-3m (No. 166, hexagonal axes)
Unique sites:
Sr 0.0000 0.0000 0.0853 x6
Ni 0.0000 0.0000 0.3332 x6

Computed properties:
Total moment   0.00 μB per cell
Density of states at the Fermi level   12.118 states/eV/cell
Calculated formation energy   -0.09 eV per atom